No. 1
First-principles (PBE) data for a relaxed Ca2ScPaS6 crystal, as listed in Alexandria via LeMat-Bulk. Values from VASP.

Computed properties:
Magnetic moment, μB/f.u.: 0.0
Space-group type: P2_1/c
Formation energy without anion corrections, eV/atom: -1.864
Total DFT energy (no corrections), eV per formula unit: -63.2

Quantum ESPRESSO input file:
```
&SYSTEM
  ibrav = 0, nat = 20, ntyp = 4
/
ATOMIC_SPECIES
S 32.06 S.upf
Ca 40.08 Ca.upf
Sc 44.96 Sc.upf
Pa 231.04 Pa.upf
CELL_PARAMETERS angstrom
-0.7893 -6.6217 -0.1421
1.6345 -0.3450 6.9960
-9.5059 0.8661 2.2636
ATOMIC_POSITIONS angstrom
S -0.4903 -1.2489 1.4577
S -5.4417 -4.1681 3.3585
S -5.8970 -2.1372 8.3535
S -8.1704 -4.8517 7.6597
S -2.2173 -5.7379 4.2462
S 0.2617 -2.2817 4.9547
S -6.4434 -0.3627 4.8713
S -4.7012 -5.1985 6.8059
S -3.2190 -1.9325 5.7590
S -2.7637 -3.9634 0.7640
S -3.9595 -0.9021 2.3116
S -8.9224 -3.8188 4.1627
Ca -6.6375 -3.0748 5.7512
Ca -0.9621 -0.3084 6.9498
Ca -2.0232 -3.0257 3.3663
Ca -7.6986 -5.7921 2.1677
Sc -3.9357 0.2606 4.6298
Sc -0.3946 -3.3109 -0.0711
Pa -5.1476 -2.8778 1.0608
Pa 0.8173 -0.1725 3.4980
```

---

No. 2
First-principles (PBE) data for a relaxed Sr2CaPaS6 crystal, as listed in Alexandria via LeMat-Bulk. Values from VASP.

Computed properties:
Magnetic moment, μB/f.u.: 0.0
Space-group type: P2_1/c
Formation energy without anion corrections, eV/atom: -1.742
Total DFT energy (no corrections), eV per formula unit: -57.0

Quantum ESPRESSO input file:
```
&SYSTEM
  ibrav = 0, nat = 20, ntyp = 4
/
ATOMIC_SPECIES
S 32.06 S.upf
Sr 87.62 Sr.upf
Ca 40.08 Ca.upf
Pa 231.04 Pa.upf
CELL_PARAMETERS angstrom
7.1360 0.0000 -0.2158
0.0000 7.5931 0.0000
-0.2480 0.0000 9.9363
ATOMIC_POSITIONS angstrom
S 1.9948 5.2432 4.3126
S 4.8932 2.3499 5.4079
S 2.2557 5.4033 0.6755
S 5.4388 6.1464 9.1728
S 1.4492 1.4466 0.5476
S 1.1883 1.6068 4.1848
S 4.6323 2.1898 9.0450
S 4.4785 0.3828 2.3037
S 0.7865 3.4138 7.3797
S 2.4095 7.2103 7.4168
S 5.6997 5.9863 5.5357
S 6.1015 4.1793 2.3408
Sr 3.6026 4.4110 7.2247
Sr 6.7294 0.6145 7.3560
Sr 3.2854 3.1820 2.4958
Sr 0.1586 6.9786 2.3644
Ca 3.4440 0.0000 4.8602
Ca 0.0000 3.7965 0.0000
Pa 3.5680 0.0000 -0.1079
Pa -0.1240 3.7965 4.9681
```

---

No. 3
First-principles (PBE) data for a relaxed CaPaTaS6 crystal, as listed in Alexandria via LeMat-Bulk. Values from VASP.

Computed properties:
Magnetic moment, μB/f.u.: 0.0
Space-group type: P-31c
Formation energy without anion corrections, eV/atom: -1.398
Total DFT energy (no corrections), eV per formula unit: -60.7

Quantum ESPRESSO input file:
```
&SYSTEM
  ibrav = 0, nat = 18, ntyp = 4
/
ATOMIC_SPECIES
S 32.06 S.upf
Ca 40.08 Ca.upf
Ta 180.95 Ta.upf
Pa 231.04 Pa.upf
CELL_PARAMETERS angstrom
6.5898 0.0000 0.0000
-3.2949 5.7069 0.0000
0.0000 0.0000 12.1644
ATOMIC_POSITIONS angstrom
S 4.1958 0.1185 10.5550
S 4.3893 3.5744 10.5550
S 1.0944 2.1325 4.4728
S 1.2996 2.0140 10.5550
S -1.9953 3.6929 4.4728
S 0.9009 5.5884 4.4728
S 2.2005 3.5744 7.6916
S 2.3940 0.1185 7.6916
S -1.0944 2.1325 1.6094
S -0.9009 5.5884 1.6094
S 5.2902 2.0140 7.6916
S 1.9953 3.6929 1.6094
Ca 0.0000 0.0000 0.0000
Ca 0.0000 0.0000 6.0822
Ta 0.0000 3.8046 3.0411
Ta 3.2949 1.9023 9.1233
Pa 0.0000 3.8046 9.1233
Pa 3.2949 1.9023 3.0411
```

---

No. 4
First-principles (PBE) data for a relaxed Ca2PaTl3S6 crystal, as listed in Alexandria via LeMat-Bulk. Values from VASP.

Computed properties:
Magnetic moment, μB/f.u.: 0.0
Space-group type: C2/m
Formation energy without anion corrections, eV/atom: -1.368
Total DFT energy (no corrections), eV per formula unit: -61.8

Quantum ESPRESSO input file:
```
&SYSTEM
  ibrav = 0, nat = 12, ntyp = 4
/
ATOMIC_SPECIES
Ca 40.08 Ca.upf
S 32.06 S.upf
Tl 204.38 Tl.upf
Pa 231.04 Pa.upf
CELL_PARAMETERS angstrom
7.0893 0.0056 0.0071
-3.5381 6.1433 0.0071
-1.1770 -2.0380 7.4623
ATOMIC_POSITIONS angstrom
Ca 0.0082 4.0952 0.0071
Ca 3.5430 2.0537 0.0071
S 0.1680 4.1044 5.9960
S 2.4477 4.2381 1.5348
S -0.0735 -0.1272 5.9418
S 2.2062 0.0065 1.4806
S -1.0970 1.9142 1.4806
S 3.4712 2.1968 5.9960
Tl -2.3300 4.0867 3.7383
Tl 4.7043 0.0242 3.7383
Tl 1.1871 2.0555 3.7383
Pa 0.0000 0.0000 0.0000
```

---

No. 5
First-principles (PBE) data for a relaxed CaPaTl2S4 crystal, as listed in Alexandria via LeMat-Bulk. Values from VASP.

Computed properties:
Magnetic moment, μB/f.u.: 1.0
Space-group type: P2/m
Formation energy without anion corrections, eV/atom: -1.296
Total DFT energy (no corrections), eV per formula unit: -43.1

Quantum ESPRESSO input file:
```
&SYSTEM
  ibrav = 0, nat = 8, ntyp = 4
/
ATOMIC_SPECIES
S 32.06 S.upf
Pa 231.04 Pa.upf
Tl 204.38 Tl.upf
Ca 40.08 Ca.upf
CELL_PARAMETERS angstrom
-1.1992 -3.7297 1.1908
1.2736 -2.4899 -6.5160
6.6513 -0.8133 4.1513
ATOMIC_POSITIONS angstrom
S 0.9961 -2.5726 -0.0144
S 5.6590 -1.2778 1.6970
S 2.2659 -2.0254 -4.0617
S 5.7296 -4.4602 -1.1595
Pa 0.0000 0.0000 0.0000
Tl 2.7260 -2.2715 2.6710
Tl 3.9625 -1.6516 -1.1823
Ca 0.0372 -3.1098 -2.6626
```

---

No. 6
First-principles (PBE) data for a relaxed Ca2UPaS6 crystal, as listed in Alexandria via LeMat-Bulk. Values from VASP.

Computed properties:
Magnetic moment, μB/f.u.: 2.9
Space-group type: P4mm
Formation energy without anion corrections, eV/atom: -1.516
Total DFT energy (no corrections), eV per formula unit: -64.7

Quantum ESPRESSO input file:
```
&SYSTEM
  ibrav = 0, nat = 10, ntyp = 4
/
ATOMIC_SPECIES
U 238.03 U.upf
S 32.06 S.upf
Pa 231.04 Pa.upf
Ca 40.08 Ca.upf
CELL_PARAMETERS angstrom
-3.3639 0.8099 -4.0245
3.0112 -5.8077 -3.6856
-4.9663 -4.6193 3.2215
ATOMIC_POSITIONS angstrom
U -3.2667 -4.6624 -2.9707
S -0.6285 0.1513 -0.7519
S -1.5917 -5.0657 -0.9668
S -1.3934 -4.9292 -4.8673
S -2.9081 -2.0078 -3.0133
S -5.4063 -4.3315 -1.3928
S -3.8916 -7.2529 -3.2468
Pa -2.2821 0.5494 -2.7303
Ca -5.5747 -1.5653 -2.0880
Ca -1.5860 -2.1595 -5.5415
```